## Sr4Au2N (PBE-GGA)

Data for a geometry-optimized Sr4Au2N structure.

Geometry as CIF:
```
data_Sr4Au2N
_cell_length_a 5.1438
_cell_length_b 5.1438
_cell_length_c 16.0196
_cell_angle_alpha 90.00
_cell_angle_beta 90.00
_cell_angle_gamma 90.00
_space_group_name_H-M_alt 'I 4/m m m'
_space_group_IT_number 139
_space_group_name_Hall '-I 4 2'
loop_
_atom_site_label
_atom_site_fract_x
_atom_site_fract_y
_atom_site_fract_z
Sr1 0.0000 0.0000 0.1653
Sr2 0.0000 0.5000 0.0000
Au1 0.0000 0.0000 0.3663
N1 0.0000 0.0000 0.0000
```

Summary:
- Excess energy over the best structure of this formula in the dataset: 0.000 eV per atom
- Crystal system: tetragonal
- Mass density: 5.9 Mg/m³
- Size of the total moment: 0.00 Bohr magnetons per cell
- E: -3.7091 eV/atom